--- P ---
The following is a PBE calculation of an optimized crystal structure of RbRuI3, from Alexandria via LeMat-Bulk.

Results
The value obtained for the density of states at the Fermi level is 6.79 states/eV per atom. Its space group is Pm-3m, No. 221.

Cell lengths 6.690, 6.690, 6.690 Å; angles 90.00, 90.00, 90.00 degrees
Site moments in Bohr magnetons follow the coordinates.
Fractional positions:
Ru: 0.500 0.500 0.500  2.76
I: 0.000 0.000 0.500  -0.10
I: 0.500 0.000 0.000  0.01
I: 0.000 0.500 0.000  -0.02
Rb: 0.000 0.000 0.000  -0.01


--- Q ---
The following is a PBE calculation of an optimized crystal structure of RbRuI3, from Alexandria via LeMat-Bulk.

Results
The value obtained for the density of states at the Fermi level is 1.59 states/eV per atom. Its space group is Pm-3m, No. 221.

Cell lengths 5.605, 5.605, 5.605 Å; angles 90.00, 90.00, 90.00 degrees
Site moments in Bohr magnetons follow the coordinates.
Fractional positions:
Ru: 0.000 0.000 0.000  1.32
I: 0.000 0.000 0.500  0.02
Rb: 0.500 0.500 0.500  0.00
I: 0.000 0.500 0.000  0.02
I: 0.500 0.000 0.000  0.09


Most stable structure - Q; separation to the second - 1.248 eV/atom.


--- P ---
The following is a PBE calculation of an optimized crystal structure of RbSbRuI2, from Alexandria via LeMat-Bulk.

Results
The value obtained for the density of states at the Fermi level is 3.61 states/eV per atom. Its space group is P4/mmm, No. 123.

Cell lengths 6.469, 6.469, 6.319 Å; angles 90.00, 90.00, 90.00 degrees
Site moments in Bohr magnetons follow the coordinates.
Fractional positions:
Sb: 0.000 0.000 0.500  0.07
Ru: 0.500 0.500 0.500  2.80
Rb: 0.000 0.000 0.000  0.00
I: 0.000 0.500 0.000  0.03
I: 0.500 0.000 0.000  0.03


--- Q ---
The following is a PBE calculation of an optimized crystal structure of RbSbRuI2, from Alexandria via LeMat-Bulk.

Results
The value obtained for the density of states at the Fermi level is 1.11 states/eV per atom. Its space group is P4/mmm, No. 123.

Cell lengths 5.836, 5.836, 5.003 Å; angles 90.00, 90.00, 90.00 degrees
Fractional positions:
Ru: 0.000 0.000 0.000
I: 0.000 0.500 0.000
I: 0.500 0.000 0.000
Sb: 0.000 0.000 0.500
Rb: 0.500 0.500 0.500


Most stable structure - Q; separation to the second - 1.666 eV/atom.


--- P ---
The following is a PBE calculation of an optimized crystal structure of RbTeRuI2, from Alexandria via LeMat-Bulk.

Results
The value obtained for the density of states at the Fermi level is 0.71 states/eV per atom. Its space group is P4/mmm, No. 123.

Cell lengths 6.684, 6.684, 6.516 Å; angles 90.00, 90.00, 90.00 degrees
Site moments in Bohr magnetons follow the coordinates.
Fractional positions:
Te: 0.000 0.000 0.500  0.79
I: 0.000 0.500 0.000  0.13
Rb: 0.000 0.000 0.000  0.02
I: 0.500 0.000 0.000  0.13
Ru: 0.500 0.500 0.500  2.76


--- Q ---
The following is a PBE calculation of an optimized crystal structure of RbTeRuI2, from Alexandria via LeMat-Bulk.

Results
The value obtained for the density of states at the Fermi level is 0.69 states/eV per atom. Its space group is P4/mmm, No. 123.

Cell lengths 5.877, 5.877, 5.015 Å; angles 90.00, 90.00, 90.00 degrees
Fractional positions:
Rb: 0.500 0.500 0.500
Ru: 0.000 0.000 0.000
Te: 0.000 0.000 0.500
I: 0.000 0.500 0.000
I: 0.500 0.000 0.000


Most stable structure - Q; separation to the second - 1.496 eV/atom.


--- P ---
The following is a PBE calculation of an optimized crystal structure of RbSI2, from Alexandria via LeMat-Bulk.

Results
The value obtained for the density of states at the Fermi level is 0.22 states/eV per atom. Its space group is Fm-3m, No. 225.

Cell lengths 6.004, 6.004, 6.004 Å; angles 60.00, 60.00, 60.00 degrees
Site moments in Bohr magnetons follow the coordinates.
Fractional positions:
S: 0.000 0.000 0.000  1.18
I: 0.250 0.250 0.250  0.37
Rb: 0.500 0.500 0.500  0.01
I: 0.750 0.750 0.750  0.37


--- Q ---
The following is a PBE calculation of an optimized crystal structure of RbSI2, from Alexandria via LeMat-Bulk.

Results
The value obtained for the density of states at the Fermi level is 1.37 states/eV per atom. Its space group is R-3m, No. 166.

Cell lengths 6.172, 6.172, 8.587 Å; angles 68.94, 68.94, 60.00 degrees
Site moments in Bohr magnetons follow the coordinates.
Fractional positions:
I: 0.112 0.112 0.664  0.10
I: 0.888 0.888 0.336  0.10
S: 0.000 0.000 0.000  0.41
Rb: 0.500 0.500 0.500  0.00


Most stable structure - Q; separation to the second - 0.300 eV/atom.